## HIF (PBE)

Data for HIF after structural relaxation. Values from VASP.

The structure in Quantum ESPRESSO input format:
```
&SYSTEM
  ibrav = 0, nat = 6, ntyp = 3
/
ATOMIC_SPECIES
H 1.01 H.upf
I 126.90 I.upf
F 19.00 F.upf
CELL_PARAMETERS angstrom
4.255 0.000 0.000
-0.783 5.579 0.000
-0.414 -2.901 6.924
ATOMIC_POSITIONS angstrom
H 0.000 0.000 0.000
H 0.930 2.482 6.824
I 1.639 -0.266 3.727
I 1.828 2.765 3.086
F 0.054 2.057 6.603
F 3.378 0.424 0.220
```

* uncorrected energy: -19.7 eV/cell